{"formula": "YSc3Au", "functional": "PBE", "state": "relaxed", "volume_a3_per_atom": 28.575, "mass_density_g_cm3": 4.89, "space_group": "Pm-3m", "polymorph_energy_mev_per_atom": 0, "dos_at_fermi_per_ev_fu": 9.5, "formation_enthalpy_0k_mev_per_atom": -15, "total_energy_ev_per_fu": -28.812, "lattice": [[5.228, 0.000, 0.000], [0.000, 5.228, 0.000], [0.000, 0.000, 5.228]], "species": ["Y", "Sc", "Sc", "Sc", "Au"], "fractional_positions": [[0.000, 0.000, 0.000], [0.000, 0.500, 0.500], [0.500, 0.000, 0.500], [0.500, 0.500, 0.000], [0.500, 0.500, 0.500]]}